Record 1
DFT (PBE-GGA) results for a relaxed Eu2H4Pd crystal.

The electronic total energy is -0.4472 Ry per atom. As for the space group: No. 139. The calculated volume comes out at 13.20 Å³ per atom.

Unit cell a=3.6648 b=3.6648 c=7.3523 alpha=75.57 beta=75.57 gamma=90.00
Element x y z (fractional)
H1 0.5000 0.0000 0.0000
H2 0.0000 0.5000 0.0000
H3 0.8213 0.8213 0.3574
H4 0.1787 0.1787 0.6426
Eu1 0.6417 0.6417 0.7166
Eu2 0.3583 0.3583 0.2834
Pd1 0.0000 0.0000 0.0000

---

Record 2
DFT (PBE-GGA) results for a relaxed CsSbPb2Br8 crystal.

The electronic total energy is -0.2257 Ry per atom. As for the space group: No. 2. The calculated volume comes out at 40.39 Å³ per atom. Its energy relative to the elements, uncorrected is -923 meV per atom.

Unit cell a=7.2901 b=7.0049 c=9.4934 alpha=89.63 beta=89.70 gamma=88.84
Element x y z (fractional)
Br1 0.8416 0.2468 0.2037
Br2 0.8437 0.2487 0.7954
Br3 0.3994 0.2665 0.5022
Br4 0.6006 0.7335 0.4978
Br5 0.1563 0.7513 0.2046
Br6 0.6803 0.7633 0.0004
Br7 0.3197 0.2367 0.9996
Br8 0.1584 0.7532 0.7963
Cs1 0.0000 0.0000 0.5000
Pb1 0.5003 0.5011 0.2481
Pb2 0.4997 0.4989 0.7519
Sb1 0.0000 0.0000 0.0000

---

Record 3
DFT (PBE-GGA) results for a relaxed NdMnSi crystal.

The electronic total energy is -0.5110 Ry per atom. As for the space group: No. 129. The calculated volume comes out at 20.00 Å³ per atom. Its energy relative to the elements, uncorrected is -499 meV per atom.

Unit cell a=3.9581 b=3.9641 c=8.6096 alpha=90.00 beta=117.34 gamma=90.00
Element x y z (fractional)
Si1 0.5726 0.2478 0.3201
Si2 0.4352 0.7478 0.6831
Nd1 0.0777 0.2478 0.8258
Nd2 0.9301 0.7478 0.1774
Mn1 0.2543 0.2477 0.5020
Mn2 0.7534 0.7477 0.5012

---

Record 4
DFT (PBE-GGA) results for a relaxed SnGeAs2 crystal.

The electronic total energy is -0.3289 Ry per atom. As for the space group: No. 46. The calculated volume comes out at 23.45 Å³ per atom. The formation energy is 4 meV/atom.

Unit cell a=5.5239 b=6.2825 c=10.8113 alpha=90.00 beta=90.00 gamma=90.00
Element x y z (fractional)
Sn1 0.5003 0.4798 0.1254
Sn2 0.9997 0.9798 0.6254
Sn3 0.0003 0.4798 0.3746
Sn4 0.4997 0.9798 0.8746
As1 0.5002 0.3820 0.3823
As2 0.5001 0.9127 0.1318
As3 0.9999 0.4127 0.6318
As4 0.4998 0.8820 0.6177
As5 0.9998 0.8820 0.8823
As6 0.0001 0.9127 0.3682
As7 0.4999 0.4127 0.8682
As8 0.0002 0.3820 0.1177
Ge1 0.4996 0.9757 0.3752
Ge2 0.9996 0.9757 0.1248
Ge3 0.0004 0.4757 0.8752
Ge4 0.5004 0.4757 0.6248

---

Record 5
DFT (PBE-GGA) results for a relaxed LiYErTl crystal.

The electronic total energy is -0.2965 Ry per atom. As for the space group: No. 216. The calculated volume comes out at 25.79 Å³ per atom. The formation energy is -207 meV/atom.

Unit cell a=5.2647 b=5.2647 c=5.2647 alpha=60.00 beta=60.00 gamma=60.00
Element x y z (fractional)
Y1 0.5000 0.5000 0.5000
Tl1 0.2500 0.2500 0.2500
Er1 0.0000 0.0000 0.0000
Li1 0.7500 0.7500 0.7500

---

Record 6
DFT (PBE-GGA) results for a relaxed SiAs2P crystal.

The electronic total energy is -0.3592 Ry per atom. As for the space group: No. 99. The calculated volume comes out at 18.72 Å³ per atom. Its energy relative to the elements, uncorrected is 145 meV per atom.

Unit cell a=3.6699 b=3.6699 c=5.5597 alpha=90.00 beta=90.00 gamma=90.00
Element x y z (fractional)
As1 0.0000 0.0000 0.1721
As2 0.5000 0.5000 0.0912
Si1 0.5000 0.5000 0.6427
P1 0.0000 0.0000 0.5940